Entry 1:
DFT (GGA-PBE) results for crystalline PrHo2Cu9 at its relaxed geometry.

```
PrHo2Cu9
1.0
2.6173 1.5111 8.2311
-2.6173 1.5111 8.2311
0.0000 -3.0222 8.2311
Pr Ho Cu
1 2 9
direct
0.0000 0.0000 0.0000
0.1441 0.1441 0.1441
0.8559 0.8559 0.8559
0.0839 0.5826 0.5826
0.3322 0.3322 0.3322
0.4174 0.4174 0.9161
0.4174 0.9161 0.4174
0.5000 0.5000 0.5000
0.5826 0.0839 0.5826
0.5826 0.5826 0.0839
0.6678 0.6678 0.6678
0.9161 0.4174 0.4174
```

## Properties
Symmetry = R-3m (166)
Volume = 195.3 Å³/cell
ΔE_f = -0.189 eV per atom
E = -4.423 eV/atom



Entry 2:
DFT (GGA-PBE) results for crystalline PrHo2Cu6 at its relaxed geometry.

```
PrHo2Cu6
1.0
7.3534 0.0000 0.0000
-3.6767 6.3683 0.0000
0.0000 0.0000 3.6313
Pr Ho Cu
1 2 6
direct
0.0000 0.0000 0.0000
0.3333 0.6667 0.0000
0.6667 0.3333 0.0000
0.0000 0.3364 0.5000
0.0000 0.6636 0.5000
0.3364 0.0000 0.5000
0.3364 0.3364 0.5000
0.6636 0.0000 0.5000
0.6636 0.6636 0.5000
```

## Properties
Symmetry = P6/mmm (191)
Volume = 170.0 Å³/cell
ΔE_f = -0.234 eV per atom
E = -4.513 eV/atom



Entry 3:
DFT (GGA-PBE) results for crystalline PrHoCu at its relaxed geometry.

```
PrHoCu
1.0
-1.7704 1.7704 6.2762
1.7704 -1.7704 6.2762
1.7704 1.7704 -6.2762
Pr Ho Cu
1 1 1
direct
0.0000 0.0000 0.0000
0.2786 0.2786 0.0000
0.6589 0.6589 0.0000
```

## Properties
Offset from the most stable computed form = 7 meV/atom
Symmetry = I4mm (107)
Volume = 78.7 Å³/cell
ΔE_f = -0.103 eV per atom
E = -4.588 eV/atom



Entry 4:
DFT (GGA-PBE) results for crystalline PrHo5Cu4 at its relaxed geometry.

```
PrHo5Cu4
1.0
3.4543 0.0000 0.0000
0.0000 3.4543 0.0000
0.0000 0.0000 19.2971
Pr Ho Cu
1 5 4
direct
0.0000 0.0000 0.0000
0.5000 0.5000 0.1423
0.5000 0.5000 0.3198
0.5000 0.5000 0.5000
0.5000 0.5000 0.6802
0.5000 0.5000 0.8577
0.0000 0.0000 0.2293
0.0000 0.0000 0.4096
0.0000 0.0000 0.5904
0.0000 0.0000 0.7707
```

## Properties
Symmetry = P4/mmm (123)
Volume = 230.3 Å³/cell
ΔE_f = -0.205 eV per atom
E = -4.611 eV/atom



- Number 3 is which compound?
  PrHoCu